Record 1
Material: Li3MnF
Method: DFT, PBE+U
State: relaxed

Lattice parameters (Å, degrees): 4.2527 4.2527 4.2527 90.00 90.00 90.00
Space group Pm-3m (No. 221)
Inequivalent atoms, fractional coordinates:
1 Li 0.0000 0.0000 0.5000 [3 per cell]
2 Mn 0.5000 0.5000 0.5000 [1 per cell]
3 F 0.0000 0.0000 0.0000 [1 per cell]

## Properties
The value obtained for the energy above the most stable polymorph in this dataset is 0 meV per atom. Its size of the total moment is 4.886 Bohr magnetons per cell.

---

Record 2
Material: LiMnF5
Method: DFT, PBE+U
State: relaxed

Lattice parameters (Å, degrees): 6.9181 6.9873 3.8014 90.00 90.00 90.00
Space group Pmmn (No. 59, origin choice 2)
Inequivalent atoms, fractional coordinates:
1 Li 0.2500 0.2500 0.0091 [2 per cell]
2 Mn 0.2500 0.7500 0.2464 [2 per cell]
3 F 0.0128 0.2500 0.7486 [4 per cell]
4 F 0.2500 0.0100 0.2520 [4 per cell]
5 F 0.2500 0.7500 0.7503 [2 per cell]

## Properties
The value obtained for the energy above the most stable polymorph in this dataset is 19 meV per atom. Its size of the total moment is 6.154 Bohr magnetons per cell.

---

Record 3
Material: LiMnF4
Method: DFT, PBE+U
State: relaxed

Lattice parameters (Å, degrees): 9.6411 5.2111 5.7205 90.00 90.00 90.00
Space group Pna2_1 (No. 33)
Inequivalent atoms, fractional coordinates:
1 Li 0.0170 0.0069 0.0000 [4 per cell]
2 Mn 0.1424 0.4585 0.6376 [4 per cell]
3 F 0.0145 0.7187 0.2558 [4 per cell]
4 F 0.0565 0.7574 0.7451 [4 per cell]
5 F 0.1901 0.1563 0.4909 [4 per cell]
6 F 0.2108 0.1322 0.0041 [4 per cell]

## Properties
The energy comes out at -128.74 eV/cell. Its size of the total moment is 15.984 Bohr magnetons per cell.

---

Record 4
Material: LiMn3F10
Method: DFT, PBE+U
State: relaxed

Lattice parameters (Å, degrees): 6.2094 8.0927 9.6985 110.90 108.56 91.52
Space group P-1 (No. 2)
Inequivalent atoms, fractional coordinates:
1 Li 0.1711 0.0263 0.3616 [2 per cell]
2 Mn 0.2481 0.5040 0.0008 [2 per cell]
3 Mn 0.3137 0.4848 0.6283 [2 per cell]
4 Mn 0.4279 0.0115 0.8389 [2 per cell]
5 F 0.0000 0.5000 0.5000 [1 per cell]
6 F 0.0027 0.3282 0.9564 [2 per cell]
7 F 0.1488 0.0294 0.7089 [2 per cell]
8 F 0.1595 0.4705 0.7873 [2 per cell]
9 F 0.2601 0.2407 0.5326 [2 per cell]
10 F 0.2995 0.9983 0.9950 [2 per cell]
11 F 0.3725 0.7336 0.7327 [2 per cell]
12 F 0.3737 0.5265 0.2114 [2 per cell]
13 F 0.4074 0.9662 0.2827 [2 per cell]
14 F 0.5004 0.3168 0.9562 [2 per cell]
15 F 0.5000 0.5000 0.5000 [1 per cell]

## Properties
The energy comes out at -155.52 eV/cell. Its size of the total moment is 24.000 Bohr magnetons per cell.

---

Record 5
Material: LiMnF4
Method: DFT, PBE+U
State: relaxed

Lattice parameters (Å, degrees): 4.6071 11.3753 5.1081 90.00 90.00 90.00
Space group Pbcn (No. 60)
Inequivalent atoms, fractional coordinates:
1 Li 0.0000 0.0578 0.2500 [4 per cell]
2 Mn 0.0000 0.3216 0.2500 [4 per cell]
3 F 0.2223 0.1970 0.0969 [8 per cell]
4 F 0.2440 0.4344 0.0981 [8 per cell]

## Properties
The energy comes out at -130.79 eV/cell. Its size of the total moment is 16.000 Bohr magnetons per cell.

---

Record 6
Material: LiMn2F5
Method: DFT, PBE+U
State: relaxed

Lattice parameters (Å, degrees): 8.3867 8.3898 7.9866 90.00 121.56 90.00
Space group C2/c (No. 15)
Inequivalent atoms, fractional coordinates:
1 Li 0.0000 0.1247 0.2500 [4 per cell]
2 Mn 0.0000 0.5000 0.0000 [4 per cell]
3 Mn 0.2500 0.2500 0.0000 [4 per cell]
4 F 0.0000 0.3747 0.7500 [4 per cell]
5 F 0.0612 0.2608 0.1008 [8 per cell]
6 F 0.2107 0.0106 0.9001 [8 per cell]

## Properties
The value obtained for the energy above the most stable polymorph in this dataset is 29 meV per atom. Its size of the total moment is 40.000 Bohr magnetons per cell.

---

Record 7
Material: Li2Mn7F16
Method: DFT, PBE+U
State: relaxed

Lattice parameters (Å, degrees): 6.5234 6.5234 26.1720 90.00 90.00 120.00
Space group R-3 (No. 148, hexagonal axes)
Inequivalent atoms, fractional coordinates:
1 Li 0.0000 0.0000 0.1758 [6 per cell]
2 Mn 0.0000 0.0000 0.5000 [3 per cell]
3 Mn 0.0041 0.6272 0.6108 [18 per cell]
4 F 0.0000 0.0000 0.0948 [6 per cell]
5 F 0.0000 0.0000 0.2764 [6 per cell]
6 F 0.9995 0.4361 0.1286 [18 per cell]
7 F 0.0264 0.3979 0.3025 [18 per cell]

## Properties
The energy comes out at -458.27 eV/cell. Its size of the total moment is 105.000 Bohr magnetons per cell.

---

Record 8
Material: LiMnF4
Method: DFT, PBE+U
State: relaxed

Lattice parameters (Å, degrees): 12.4690 4.2585 6.5388 90.00 105.79 90.00
Space group C2/m (No. 12)
Inequivalent atoms, fractional coordinates:
1 Li 0.0939 0.0000 0.2145 [4 per cell]
2 Mn 0.2019 0.0000 0.8026 [4 per cell]
3 F 0.0667 0.0000 0.8741 [4 per cell]
4 F 0.1353 0.0000 0.5168 [4 per cell]
5 F 0.1542 0.5000 0.2270 [4 per cell]
6 F 0.2313 0.5000 0.8797 [4 per cell]

## Properties
The energy comes out at -129.85 eV/cell. Its size of the total moment is 16.000 Bohr magnetons per cell.

---

Record 9
Material: LiMnF4
Method: DFT, PBE+U
State: relaxed

Lattice parameters (Å, degrees): 4.6610 5.8019 10.1524 90.00 90.00 90.00
Space group Pbcn (No. 60)
Inequivalent atoms, fractional coordinates:
1 Li 0.0000 0.1768 0.2500 [4 per cell]
2 Mn 0.0000 0.5000 0.0000 [4 per cell]
3 F 0.2126 0.4705 0.1546 [8 per cell]
4 F 0.2415 0.2129 0.4171 [8 per cell]

## Properties
The energy comes out at -130.89 eV/cell. Its size of the total moment is 16.000 Bohr magnetons per cell.

---

Record 10
Material: LiMnF5
Method: DFT, PBE+U
State: relaxed

Lattice parameters (Å, degrees): 7.1495 8.1764 10.2923 102.55 95.96 102.40
Space group P-1 (No. 2)
Inequivalent atoms, fractional coordinates:
1 Li 0.1557 0.4959 0.2078 [2 per cell]
2 Li 0.2088 0.1554 0.1924 [2 per cell]
3 Li 0.3147 0.1505 0.8461 [2 per cell]
4 Mn 0.1974 0.1140 0.5038 [2 per cell]
5 Mn 0.2044 0.8124 0.0221 [2 per cell]
6 Mn 0.3349 0.5332 0.7376 [2 per cell]
7 F 0.0220 0.2623 0.1037 [2 per cell]
8 F 0.0516 0.8836 0.4279 [2 per cell]
9 F 0.0718 0.4656 0.7165 [2 per cell]
10 F 0.0768 0.8981 0.1532 [2 per cell]
11 F 0.1047 0.1898 0.3624 [2 per cell]
12 F 0.1714 0.6062 0.0645 [2 per cell]
13 F 0.2469 0.0290 0.9855 [2 per cell]
14 F 0.2738 0.0537 0.6558 [2 per cell]
15 F 0.3216 0.6650 0.6228 [2 per cell]
16 F 0.3378 0.3473 0.5882 [2 per cell]
17 F 0.3501 0.7296 0.8816 [2 per cell]
18 F 0.3514 0.3922 0.8534 [2 per cell]
19 F 0.3917 0.4012 0.2385 [2 per cell]
20 F 0.3950 0.0771 0.4247 [2 per cell]
21 F 0.4289 0.8908 0.1396 [2 per cell]

## Properties
The value obtained for the energy above the most stable polymorph in this dataset is 26 meV per atom. Its size of the total moment is 17.935 Bohr magnetons per cell.

---

Record 11
Material: LiMn2F5
Method: DFT, PBE+U
State: relaxed

Lattice parameters (Å, degrees): 11.0959 5.2789 7.6024 90.00 113.10 90.00
Space group C2/c (No. 15)
Inequivalent atoms, fractional coordinates:
1 Li 0.0000 0.0000 0.0000 [4 per cell]
2 Mn 0.1314 0.4961 0.2291 [8 per cell]
3 F 0.0000 0.2085 0.2500 [4 per cell]
4 F 0.0795 0.3343 0.9482 [8 per cell]
5 F 0.1816 0.1507 0.6510 [8 per cell]

## Properties
The value obtained for the energy above the most stable polymorph in this dataset is 7 meV per atom. Its size of the total moment is 40.000 Bohr magnetons per cell.

---

Record 12
Material: Li2MnF4
Method: DFT, PBE+U
State: relaxed

Lattice parameters (Å, degrees): 9.3229 5.4431 6.1612 90.00 90.89 90.00
Space group C2 (No. 5)
Inequivalent atoms, fractional coordinates:
1 Li 0.0000 0.0000 0.0000 [2 per cell]
2 Li 0.0000 0.0107 0.5000 [2 per cell]
3 Li 0.1586 0.5551 0.1713 [4 per cell]
4 Mn 0.1562 0.4725 0.6811 [4 per cell]
5 F 0.0111 0.7554 0.7367 [4 per cell]
6 F 0.0297 0.2697 0.2508 [4 per cell]
7 F 0.2235 0.1063 0.5725 [4 per cell]
8 F 0.2251 0.9007 0.0438 [4 per cell]

## Properties
The value obtained for the energy above the most stable polymorph in this dataset is 60 meV per atom. Its size of the total moment is 20.000 Bohr magnetons per cell.

---

Q: size of the total moment of number 12 (Li2MnF4)?
A: 20.000 Bohr magnetons per cell

---

Please write out number 10 again, unchanged.
Material: LiMnF5
Method: DFT, PBE+U
State: relaxed

Lattice parameters (Å, degrees): 7.1495 8.1764 10.2923 102.55 95.96 102.40
Space group P-1 (No. 2)
Inequivalent atoms, fractional coordinates:
1 Li 0.1557 0.4959 0.2078 [2 per cell]
2 Li 0.2088 0.1554 0.1924 [2 per cell]
3 Li 0.3147 0.1505 0.8461 [2 per cell]
4 Mn 0.1974 0.1140 0.5038 [2 per cell]
5 Mn 0.2044 0.8124 0.0221 [2 per cell]
6 Mn 0.3349 0.5332 0.7376 [2 per cell]
7 F 0.0220 0.2623 0.1037 [2 per cell]
8 F 0.0516 0.8836 0.4279 [2 per cell]
9 F 0.0718 0.4656 0.7165 [2 per cell]
10 F 0.0768 0.8981 0.1532 [2 per cell]
11 F 0.1047 0.1898 0.3624 [2 per cell]
12 F 0.1714 0.6062 0.0645 [2 per cell]
13 F 0.2469 0.0290 0.9855 [2 per cell]
14 F 0.2738 0.0537 0.6558 [2 per cell]
15 F 0.3216 0.6650 0.6228 [2 per cell]
16 F 0.3378 0.3473 0.5882 [2 per cell]
17 F 0.3501 0.7296 0.8816 [2 per cell]
18 F 0.3514 0.3922 0.8534 [2 per cell]
19 F 0.3917 0.4012 0.2385 [2 per cell]
20 F 0.3950 0.0771 0.4247 [2 per cell]
21 F 0.4289 0.8908 0.1396 [2 per cell]

## Properties
The value obtained for the energy above the most stable polymorph in this dataset is 26 meV per atom. Its size of the total moment is 17.935 Bohr magnetons per cell.

---

Q: The highest size of the total moment belongs to which entry?
A: Li2Mn7F16

---

Q: Look up the size of the total moment of the twelfth one.
A: 20.000 Bohr magnetons per cell